{
  "formula": "Rb2LiTaBr6",
  "functional": "PBE",
  "state": "relaxed",
  "lattice": [[0.0000, 5.3944, 5.3944], [5.3944, 0.0000, 5.3944], [5.3944, 5.3944, 0.0000]],
  "species": ["Rb", "Rb", "Li", "Ta", "Br", "Br", "Br", "Br", "Br", "Br"],
  "fractional_positions": [[0.2500, 0.2500, 0.2500], [0.7500, 0.7500, 0.7500], [0.0000, 0.0000, 0.0000], [0.5000, 0.5000, 0.5000], [0.2555, 0.2555, 0.7445], [0.2555, 0.7445, 0.2555], [0.2555, 0.7445, 0.7445], [0.7445, 0.2555, 0.2555], [0.7445, 0.2555, 0.7445], [0.7445, 0.7445, 0.2555]],
  "rho_g_cm3": 4.4,
  "dos_at_fermi_per_ev_cell": 8.0,
  "volume_a3_per_atom": 31.39,
  "e_form_raw_ev_per_atom": -1.238,
  "final_energy_ev_per_atom": -3.812
}

***

{
  "formula": "RbLiTbBr5",
  "functional": "PBE",
  "state": "relaxed",
  "lattice": [[4.7452, -6.4293, 0.0000], [4.7452, 6.4293, 0.0000], [-4.2701, 0.0000, 9.7983]],
  "species": ["Rb", "Rb", "Li", "Li", "Tb", "Tb", "Br", "Br", "Br", "Br", "Br", "Br", "Br", "Br", "Br", "Br"],
  "fractional_positions": [[0.1551, 0.8449, 0.7500], [0.8449, 0.1551, 0.2500], [0.1919, 0.8081, 0.2500], [0.8081, 0.1919, 0.7500], [0.5000, 0.5000, 0.0000], [0.5000, 0.5000, 0.5000], [0.1285, 0.2598, 0.9239], [0.1960, 0.5958, 0.3953], [0.2598, 0.1285, 0.4239], [0.4042, 0.8040, 0.1047], [0.4253, 0.5747, 0.7500], [0.5747, 0.4253, 0.2500], [0.5958, 0.1960, 0.8953], [0.7402, 0.8715, 0.5761], [0.8040, 0.4042, 0.6047], [0.8715, 0.7402, 0.0761]],
  "rho_g_cm3": 3.6,
  "dos_at_fermi_per_ev_cell": 0.0,
  "volume_a3_per_atom": 37.37,
  "e_form_raw_ev_per_atom": -1.771,
  "final_energy_ev_per_atom": -3.756
}

***

{
  "formula": "RbLiTb2Br8",
  "functional": "PBE",
  "state": "relaxed",
  "lattice": [[7.0837, 0.0000, 0.0000], [0.0000, 8.7455, 0.0000], [-1.0500, 0.0000, 7.1995]],
  "species": ["Rb", "Li", "Tb", "Tb", "Br", "Br", "Br", "Br", "Br", "Br", "Br", "Br"],
  "fractional_positions": [[0.0000, 0.0000, 0.0000], [0.0000, 0.5000, 0.0000], [0.5000, 0.2593, 0.5000], [0.5000, 0.7407, 0.5000], [0.2512, 0.2889, 0.1707], [0.2512, 0.7111, 0.1707], [0.2846, 0.5000, 0.6390], [0.2974, 0.0000, 0.6287], [0.7026, 0.0000, 0.3713], [0.7154, 0.5000, 0.3610], [0.7488, 0.2889, 0.8293], [0.7488, 0.7111, 0.8293]],
  "rho_g_cm3": 3.9,
  "dos_at_fermi_per_ev_cell": 0.0,
  "volume_a3_per_atom": 37.17,
  "e_form_raw_ev_per_atom": -1.753,
  "final_energy_ev_per_atom": -3.880
}

***

{
  "formula": "Rb2LiTcBr6",
  "functional": "PBE",
  "state": "relaxed",
  "lattice": [[0.0000, 5.3349, 5.3349], [5.3349, 0.0000, 5.3349], [5.3349, 5.3349, 0.0000]],
  "species": ["Rb", "Rb", "Li", "Tc", "Br", "Br", "Br", "Br", "Br", "Br"],
  "fractional_positions": [[0.2500, 0.2500, 0.2500], [0.7500, 0.7500, 0.7500], [0.0000, 0.0000, 0.0000], [0.5000, 0.5000, 0.5000], [0.2593, 0.2593, 0.7407], [0.2593, 0.7407, 0.2593], [0.2593, 0.7407, 0.7407], [0.7407, 0.2593, 0.2593], [0.7407, 0.2593, 0.7407], [0.7407, 0.7407, 0.2593]],
  "rho_g_cm3": 4.1,
  "dos_at_fermi_per_ev_cell": 10.5,
  "volume_a3_per_atom": 30.37,
  "e_form_raw_ev_per_atom": -1.096,
  "final_energy_ev_per_atom": -3.522
}

***

{
  "formula": "Rb2LiTcBr6",
  "functional": "PBE",
  "state": "relaxed",
  "lattice": [[3.7833, 2.1843, 12.6375], [-3.7833, 2.1843, 12.6375], [0.0000, -4.3685, 12.6375]],
  "species": ["Rb", "Rb", "Rb", "Rb", "Li", "Li", "Tc", "Tc", "Br", "Br", "Br", "Br", "Br", "Br", "Br", "Br", "Br", "Br", "Br", "Br"],
  "fractional_positions": [[0.1240, 0.1240, 0.1240], [0.2970, 0.2970, 0.2970], [0.7030, 0.7030, 0.7030], [0.8760, 0.8760, 0.8760], [0.4197, 0.4197, 0.4197], [0.5803, 0.5803, 0.5803], [0.0000, 0.0000, 0.0000], [0.5000, 0.5000, 0.5000], [0.1401, 0.6210, 0.6210], [0.1989, 0.1989, 0.7205], [0.1989, 0.7205, 0.1989], [0.2795, 0.8011, 0.8011], [0.3790, 0.3790, 0.8599], [0.3790, 0.8599, 0.3790], [0.6210, 0.1401, 0.6210], [0.6210, 0.6210, 0.1401], [0.7205, 0.1989, 0.1989], [0.8011, 0.2795, 0.8011], [0.8011, 0.8011, 0.2795], [0.8599, 0.3790, 0.3790]],
  "rho_g_cm3": 4.0,
  "dos_at_fermi_per_ev_cell": 10.8,
  "volume_a3_per_atom": 31.33,
  "e_form_raw_ev_per_atom": -1.124,
  "final_energy_ev_per_atom": -3.549
}

***

{
  "formula": "RbLi2TeBr",
  "functional": "PBE",
  "state": "relaxed",
  "lattice": [[-2.2896, 2.2896, 7.3303], [2.2896, -2.2896, 7.3303], [2.2896, 2.2896, -7.3303]],
  "species": ["Rb", "Li", "Li", "Te", "Br"],
  "fractional_positions": [[0.0000, 0.0000, 0.0000], [0.2298, 0.7298, 0.5000], [0.7298, 0.2298, 0.5000], [0.6296, 0.6296, 0.0000], [0.3297, 0.3297, 0.0000]],
  "rho_g_cm3": 3.3,
  "dos_at_fermi_per_ev_cell": 0.0,
  "volume_a3_per_atom": 30.74,
  "e_form_raw_ev_per_atom": -1.256,
  "final_energy_ev_per_atom": -3.178
}

***

{
  "formula": "Rb2LiTeBr",
  "functional": "PBE",
  "state": "relaxed",
  "lattice": [[6.4812, 0.0000, 0.0000], [0.0000, 6.4812, 0.0000], [0.0000, 0.0000, 6.0339]],
  "species": ["Rb", "Rb", "Li", "Te", "Br"],
  "fractional_positions": [[0.0000, 0.5000, 0.0000], [0.5000, 0.0000, 0.0000], [0.0000, 0.0000, 0.5000], [0.5000, 0.5000, 0.5000], [0.5000, 0.5000, 0.0000]],
  "rho_g_cm3": 2.5,
  "dos_at_fermi_per_ev_cell": 1.6,
  "volume_a3_per_atom": 50.69,
  "e_form_raw_ev_per_atom": -0.415,
  "final_energy_ev_per_atom": -2.148
}

***

{
  "formula": "RbLi2ThBr8",
  "functional": "PBE",
  "state": "relaxed",
  "lattice": [[6.5586, -3.7016, 0.0000], [6.5586, 3.7016, 0.0000], [-0.4228, 0.0000, 9.9853]],
  "species": ["Rb", "Li", "Li", "Th", "Br", "Br", "Br", "Br", "Br", "Br", "Br", "Br"],
  "fractional_positions": [[0.0000, 0.0000, 0.0000], [0.3265, 0.3265, 0.2542], [0.6735, 0.6735, 0.7458], [0.0000, 0.0000, 0.5000], [0.2117, 0.2117, 0.4543], [0.2283, 0.7116, 0.2900], [0.2624, 0.2624, 0.0129], [0.2884, 0.7717, 0.7100], [0.7116, 0.2283, 0.2900], [0.7376, 0.7376, 0.9871], [0.7717, 0.2884, 0.7100], [0.7883, 0.7883, 0.5457]],
  "rho_g_cm3": 3.3,
  "dos_at_fermi_per_ev_cell": 6.5,
  "volume_a3_per_atom": 40.40,
  "e_form_raw_ev_per_atom": -1.443,
  "final_energy_ev_per_atom": -3.576
}

***

{
  "formula": "RbLiThBr6",
  "functional": "PBE",
  "state": "relaxed",
  "lattice": [[7.3277, 0.0000, 0.0000], [-3.6639, 6.3460, 0.0000], [0.0000, 0.0000, 15.4404]],
  "species": ["Rb", "Rb", "Li", "Li", "Th", "Th", "Br", "Br", "Br", "Br", "Br", "Br", "Br", "Br", "Br", "Br", "Br", "Br"],
  "fractional_positions": [[0.0000, 0.0000, 0.0000], [0.0000, 0.0000, 0.5000], [0.3333, 0.6667, 0.2500], [0.6667, 0.3333, 0.7500], [0.3333, 0.6667, 0.7500], [0.6667, 0.3333, 0.2500], [0.0046, 0.3730, 0.1443], [0.0046, 0.6316, 0.3557], [0.3684, 0.3730, 0.3557], [0.3684, 0.9954, 0.1443], [0.3730, 0.0046, 0.6443], [0.3730, 0.3684, 0.8557], [0.6270, 0.6316, 0.1443], [0.6270, 0.9954, 0.3557], [0.6316, 0.0046, 0.8557], [0.6316, 0.6270, 0.6443], [0.9954, 0.3684, 0.6443], [0.9954, 0.6270, 0.8557]],
  "rho_g_cm3": 3.7,
  "dos_at_fermi_per_ev_cell": 0.0,
  "volume_a3_per_atom": 39.89,
  "e_form_raw_ev_per_atom": -1.721,
  "final_energy_ev_per_atom": -3.981
}

***

{
  "formula": "Rb2LiTiBr6",
  "functional": "PBE",
  "state": "relaxed",
  "lattice": [[3.7931, 2.1899, 12.6635], [-3.7931, 2.1899, 12.6635], [0.0000, -4.3798, 12.6635]],
  "species": ["Rb", "Rb", "Rb", "Rb", "Li", "Li", "Ti", "Ti", "Br", "Br", "Br", "Br", "Br", "Br", "Br", "Br", "Br", "Br", "Br", "Br"],
  "fractional_positions": [[0.1200, 0.1200, 0.1200], [0.2924, 0.2924, 0.2924], [0.7076, 0.7076, 0.7076], [0.8800, 0.8800, 0.8800], [0.0000, 0.0000, 0.0000], [0.5000, 0.5000, 0.5000], [0.4148, 0.4148, 0.4148], [0.5852, 0.5852, 0.5852], [0.1350, 0.6149, 0.6149], [0.2131, 0.2131, 0.6997], [0.2131, 0.6997, 0.2131], [0.3003, 0.7869, 0.7869], [0.3851, 0.3851, 0.8650], [0.3851, 0.8650, 0.3851], [0.6149, 0.1350, 0.6149], [0.6149, 0.6149, 0.1350], [0.6997, 0.2131, 0.2131], [0.7869, 0.3003, 0.7869], [0.7869, 0.7869, 0.3003], [0.8650, 0.3851, 0.3851]],
  "rho_g_cm3": 3.7,
  "dos_at_fermi_per_ev_cell": 13.7,
  "volume_a3_per_atom": 31.56,
  "e_form_raw_ev_per_atom": -1.492,
  "final_energy_ev_per_atom": -3.670
}

***

{
  "formula": "RbLiTl2Br",
  "functional": "PBE",
  "state": "relaxed",
  "lattice": [[6.7653, 0.0000, 0.0000], [0.0000, 6.7653, 0.0000], [0.0000, 0.0000, 5.9510]],
  "species": ["Rb", "Li", "Tl", "Tl", "Br"],
  "fractional_positions": [[0.0000, 0.0000, 0.0000], [0.0000, 0.0000, 0.5000], [0.0000, 0.5000, 0.0000], [0.5000, 0.0000, 0.0000], [0.5000, 0.5000, 0.5000]],
  "rho_g_cm3": 3.5,
  "dos_at_fermi_per_ev_cell": 4.2,
  "volume_a3_per_atom": 54.48,
  "e_form_raw_ev_per_atom": 0.426,
  "final_energy_ev_per_atom": -1.431
}

***

{
  "formula": "RbLiTl2Br8",
  "functional": "PBE",
  "state": "relaxed",
  "lattice": [[3.4739, 2.0057, 10.6440], [-3.4739, 2.0057, 10.6440], [0.0000, -4.0113, 10.6440]],
  "species": ["Rb", "Li", "Tl", "Tl", "Br", "Br", "Br", "Br", "Br", "Br", "Br", "Br"],
  "fractional_positions": [[0.0000, 0.0000, 0.0000], [0.5000, 0.5000, 0.5000], [0.2486, 0.2486, 0.2486], [0.7514, 0.7514, 0.7514], [0.1401, 0.4117, 0.7698], [0.2302, 0.5883, 0.8599], [0.3307, 0.3307, 0.3307], [0.4117, 0.7698, 0.1401], [0.5883, 0.8599, 0.2302], [0.6693, 0.6693, 0.6693], [0.7698, 0.1401, 0.4117], [0.8599, 0.2302, 0.5883]],
  "rho_g_cm3": 4.3,
  "dos_at_fermi_per_ev_cell": 0.0,
  "volume_a3_per_atom": 37.08,
  "e_form_raw_ev_per_atom": -0.843,
  "final_energy_ev_per_atom": -2.593
}

***

{
  "formula": "RbLi2TlBr6",
  "functional": "PBE",
  "state": "relaxed",
  "lattice": [[7.2826, 0.0000, 0.0000], [-3.6303, 6.3235, 0.0000], [-3.6311, -2.0975, 6.7306]],
  "species": ["Rb", "Li", "Li", "Tl", "Br", "Br", "Br", "Br", "Br", "Br"],
  "fractional_positions": [[0.0000, 0.0000, 0.0000], [0.5545, 0.2779, 0.8320], [0.5705, 0.7862, 0.3569], [0.9389, 0.4695, 0.4072], [0.0778, 0.1993, 0.6049], [0.0786, 0.4784, 0.1246], [0.4062, 0.8784, 0.6045], [0.5259, 0.0481, 0.1250], [0.6470, 0.6003, 0.1245], [0.7272, 0.5285, 0.6051]],
  "rho_g_cm3": 4.2,
  "volume_a3_per_atom": 31.00,
  "e_form_raw_ev_per_atom": -1.112,
  "final_energy_ev_per_atom": -2.832
}

***

{
  "formula": "Rb3LiTl3Br8",
  "functional": "PBE",
  "state": "relaxed",
  "lattice": [[7.8361, -4.8530, 0.0000], [7.8361, 4.8530, 0.0000], [-4.8198, 0.0000, 7.8128]],
  "species": ["Rb", "Rb", "Rb", "Li", "Tl", "Tl", "Tl", "Br", "Br", "Br", "Br", "Br", "Br", "Br", "Br"],
  "fractional_positions": [[0.0000, 0.0000, 0.0000], [0.0000, 0.5000, 0.5000], [0.5000, 0.0000, 0.5000], [0.5000, 0.5000, 0.0000], [0.0000, 0.5000, 0.0000], [0.5000, 0.0000, 0.0000], [0.5000, 0.5000, 0.5000], [0.2541, 0.2541, 0.2469], [0.2843, 0.2843, 0.7970], [0.2850, 0.7029, 0.2170], [0.2971, 0.7150, 0.7830], [0.7029, 0.2850, 0.2170], [0.7150, 0.2971, 0.7830], [0.7157, 0.7157, 0.2030], [0.7459, 0.7459, 0.7531]],
  "rho_g_cm3": 4.2,
  "dos_at_fermi_per_ev_cell": 14.2,
  "volume_a3_per_atom": 39.61,
  "e_form_raw_ev_per_atom": -1.198,
  "final_energy_ev_per_atom": -2.884
}

***

{
  "formula": "Rb2LiTlBr6",
  "functional": "PBE",
  "state": "relaxed",
  "lattice": [[0.0000, 5.5324, 5.5324], [5.5324, 0.0000, 5.5324], [5.5324, 5.5324, 0.0000]],
  "species": ["Rb", "Rb", "Li", "Tl", "Br", "Br", "Br", "Br", "Br", "Br"],
  "fractional_positions": [[0.2500, 0.2500, 0.2500], [0.7500, 0.7500, 0.7500], [0.0000, 0.0000, 0.0000], [0.5000, 0.5000, 0.5000], [0.2482, 0.2482, 0.7518], [0.2482, 0.7518, 0.2482], [0.2482, 0.7518, 0.7518], [0.7518, 0.2482, 0.2482], [0.7518, 0.2482, 0.7518], [0.7518, 0.7518, 0.2482]],
  "rho_g_cm3": 4.2,
  "dos_at_fermi_per_ev_cell": 0.0,
  "volume_a3_per_atom": 33.87,
  "e_form_raw_ev_per_atom": -1.186,
  "final_energy_ev_per_atom": -2.811
}

***

{
  "formula": "RbLiTl2Br4",
  "functional": "PBE",
  "state": "relaxed",
  "lattice": [[-4.6419, 4.7155, 6.5802], [4.6419, -4.7155, 6.5802], [4.6419, 4.7155, -6.5802]],
  "species": ["Rb", "Rb", "Li", "Li", "Tl", "Tl", "Tl", "Tl", "Br", "Br", "Br", "Br", "Br", "Br", "Br", "Br"],
  "fractional_positions": [[0.5000, 0.0000, 0.0000], [0.5000, 0.5000, 0.5000], [0.0000, 0.0000, 0.0000], [0.5000, 0.0000, 0.5000], [0.0000, 0.0000, 0.5000], [0.0000, 0.5000, 0.0000], [0.0000, 0.5000, 0.5000], [0.5000, 0.5000, 0.0000], [0.1979, 0.2018, 0.9961], [0.2479, 0.2426, 0.4947], [0.2479, 0.7532, 0.0053], [0.2943, 0.7982, 0.4961], [0.7057, 0.2018, 0.5039], [0.7521, 0.2468, 0.9947], [0.7521, 0.7574, 0.5053], [0.8021, 0.7982, 0.0039]],
  "rho_g_cm3": 4.7,
  "dos_at_fermi_per_ev_cell": 0.0,
  "volume_a3_per_atom": 36.01,
  "e_form_raw_ev_per_atom": -1.186,
  "final_energy_ev_per_atom": -2.974
}

***

{
  "formula": "Rb2LiTlBr5",
  "functional": "PBE",
  "state": "relaxed",
  "lattice": [[2.3180, -9.7949, 0.0000], [2.3180, 9.7949, 0.0000], [0.0000, 0.0000, 14.3287]],
  "species": ["Rb", "Rb", "Rb", "Rb", "Li", "Li", "Tl", "Tl", "Br", "Br", "Br", "Br", "Br", "Br", "Br", "Br", "Br", "Br"],
  "fractional_positions": [[0.1041, 0.8959, 0.5000], [0.1255, 0.8745, 0.1359], [0.8745, 0.1255, 0.6359], [0.8959, 0.1041, 0.0000], [0.4378, 0.5622, 0.2535], [0.5622, 0.4378, 0.7535], [0.2083, 0.7917, 0.8422], [0.7917, 0.2083, 0.3422], [0.0536, 0.9464, 0.8391], [0.2863, 0.7137, 0.4822], [0.3080, 0.6920, 0.1999], [0.3569, 0.6431, 0.8222], [0.4995, 0.5005, 0.1024], [0.5005, 0.4995, 0.6024], [0.6431, 0.3569, 0.3222], [0.6920, 0.3080, 0.6999], [0.7137, 0.2863, 0.9822], [0.9464, 0.0536, 0.3391]],
  "rho_g_cm3": 4.0,
  "dos_at_fermi_per_ev_cell": 10.4,
  "volume_a3_per_atom": 36.15,
  "e_form_raw_ev_per_atom": -1.295,
  "final_energy_ev_per_atom": -2.915
}

***

{
  "formula": "Rb2LiTlBr4",
  "functional": "PBE",
  "state": "relaxed",
  "lattice": [[6.6831, -6.5673, 0.0000], [6.6831, 6.5673, 0.0000], [-6.5324, 0.0000, 6.6924]],
  "species": ["Rb", "Rb", "Rb", "Rb", "Li", "Li", "Tl", "Tl", "Br", "Br", "Br", "Br", "Br", "Br", "Br", "Br"],
  "fractional_positions": [[0.0000, 0.0000, 0.0000], [0.0000, 0.0000, 0.5000], [0.0000, 0.5000, 0.0000], [0.5000, 0.0000, 0.5000], [0.0000, 0.5000, 0.5000], [0.5000, 0.0000, 0.0000], [0.5000, 0.5000, 0.0000], [0.5000, 0.5000, 0.5000], [0.2119, 0.2956, 0.5038], [0.2512, 0.7468, 0.5163], [0.2532, 0.7488, 0.9837], [0.2956, 0.2119, 0.0038], [0.7044, 0.7881, 0.9962], [0.7468, 0.2512, 0.0163], [0.7488, 0.2532, 0.4837], [0.7881, 0.7044, 0.4962]],
  "rho_g_cm3": 4.0,
  "dos_at_fermi_per_ev_cell": 0.0,
  "volume_a3_per_atom": 36.72,
  "e_form_raw_ev_per_atom": -1.408,
  "final_energy_ev_per_atom": -3.021
}

***

{
  "formula": "Rb3LiTl2Br9",
  "functional": "PBE",
  "state": "relaxed",
  "lattice": [[7.9308, 0.0000, 0.0000], [-3.9654, 6.8683, 0.0000], [0.0000, 0.0000, 9.7854]],
  "species": ["Rb", "Rb", "Rb", "Li", "Tl", "Tl", "Br", "Br", "Br", "Br", "Br", "Br", "Br", "Br", "Br"],
  "fractional_positions": [[0.0000, 0.0000, 0.0000], [0.3333, 0.6667, 0.6522], [0.6667, 0.3333, 0.3478], [0.0000, 0.0000, 0.5000], [0.3333, 0.6667, 0.1797], [0.6667, 0.3333, 0.8203], [0.0000, 0.5000, 0.0000], [0.1619, 0.3238, 0.3361], [0.1619, 0.8381, 0.3361], [0.3238, 0.1619, 0.6639], [0.5000, 0.0000, 0.0000], [0.5000, 0.5000, 0.0000], [0.6762, 0.8381, 0.3361], [0.8381, 0.1619, 0.6639], [0.8381, 0.6762, 0.6639]],
  "rho_g_cm3": 4.3,
  "dos_at_fermi_per_ev_cell": 2.1,
  "volume_a3_per_atom": 35.53,
  "e_form_raw_ev_per_atom": -1.138,
  "final_energy_ev_per_atom": -2.779
}